The following is a DFT calculation (PBE) of a geometry-optimized Zn2SbRu structure.

Cell lengths 4.557, 4.557, 4.557 Å; angles 60.00, 60.00, 60.00 degrees
Atoms (fractional coordinates):
Zn1 0.000 0.000 0.000
Zn2 0.250 0.250 0.250
Sb1 0.750 0.750 0.750
Ru1 0.500 0.500 0.500

- Calculated volume: 66.9 Å³ per cell
- Space-group type: No. 216
- Energy: -3.74 eV/atom

***

The following is a DFT calculation (PBE) of a geometry-optimized Zn2SbRu structure.

Cell lengths 3.471, 3.471, 5.558 Å; angles 90.00, 90.00, 90.00 degrees
Atoms (fractional coordinates):
Zn1 0.000 0.000 0.000
Zn2 0.500 0.500 0.209
Sb1 0.500 0.500 0.698
Ru1 0.000 0.000 0.473

- Calculated volume: 67.0 Å³ per cell
- Space-group type: No. 99
- Energy: -3.95 eV/atom

***

The following is a DFT calculation (PBE) of a geometry-optimized Zn2SbRu structure.

Cell lengths 5.513, 5.513, 3.197 Å; angles 104.46, 104.46, 122.99 degrees
Atoms (fractional coordinates):
Zn1 0.000 0.500 0.000
Zn2 0.500 0.000 0.000
Sb1 0.000 0.000 0.000
Ru1 0.500 0.500 0.000

- Calculated volume: 69.5 Å³ per cell
- Space-group type: No. 12
- Energy: -3.82 eV/atom

***

The following is a DFT calculation (PBE) of a geometry-optimized ZnSbRu2 structure.

Cell lengths 3.166, 3.166, 6.152 Å; angles 90.00, 90.00, 90.00 degrees
Atoms (fractional coordinates):
Zn1 0.000 0.000 0.000
Sb1 0.000 0.000 0.500
Ru1 0.500 0.500 0.247
Ru2 0.500 0.500 0.753

- Calculated volume: 61.7 Å³ per cell
- Space-group type: No. 123
- Energy: -5.99 eV/atom

***

The following is a DFT calculation (PBE) of a geometry-optimized ZnSbRu2 structure.

Cell lengths 4.499, 4.499, 4.499 Å; angles 60.00, 60.00, 60.00 degrees
Atoms (fractional coordinates):
Zn1 0.000 0.000 0.000
Sb1 0.750 0.750 0.750
Ru1 0.250 0.250 0.250
Ru2 0.500 0.500 0.500

- Calculated volume: 64.4 Å³ per cell
- Space-group type: No. 216
- Energy: -5.64 eV/atom

***

The following is a DFT calculation (PBE) of a geometry-optimized Zn2SbRu structure.

Cell lengths 3.102, 4.905, 4.550 Å; angles 90.00, 94.93, 90.00 degrees
Atoms (fractional coordinates):
Zn1 0.242 0.000 0.270
Zn2 0.758 0.000 0.730
Sb1 0.000 0.500 0.000
Ru1 0.500 0.500 0.500

- Calculated volume: 69.0 Å³ per cell
- Space-group type: No. 10
- Energy: -3.83 eV/atom

***

Computed formation energy (no corrections), in the same sequence as the records: 0.2508 0.0411 0.1630 0.0000 0.3498 0.1527 eV/atom.
Computed DOS at the Fermi energy, in the same sequence as the records: 1.15 0.69 0.51 1.00 1.38 0.46 states/eV/atom.